This record from Alexandria describes an optimized crystal structure of SrAlP2. The functional is PBE.

Cell: 4.683 4.357 4.777 Å, 90.03 90.00 90.00°
Sites, in units of the cell vectors:
Al 0.500 0.000 0.828
P 0.000 0.000 0.928
P 0.500 0.000 0.338
Sr 0.000 0.500 0.405

Results
N(E_F) = 2.59 states/eV/f.u.
Volume = 24.4 A^3/atom
Final energy = -4.496 eV per atom
Crystal system = orthorhombic

***

This record from Alexandria describes an optimized crystal structure of Sr2AlP2. The functional is PBE.

Cell: 6.485 7.743 7.743 Å, 108.86 114.75 114.75°
Sites, in units of the cell vectors:
Sr 0.681 0.855 0.145
Al 0.750 0.750 0.750
Sr 0.181 0.645 0.355
Sr 0.819 0.355 0.645
P 0.799 0.108 0.892
P 0.299 0.392 0.608
Al 0.250 0.250 0.250
P 0.701 0.608 0.392
Sr 0.319 0.145 0.855
P 0.201 0.892 0.108

Results
N(E_F) = 2.73 states/eV/f.u.
Volume = 25.5 A^3/atom
Final energy = -4.427 eV per atom
Crystal system = orthorhombic

***

This record from Alexandria describes an optimized crystal structure of SrAl2P. The functional is PBE.

Cell: 4.239 4.239 4.846 Å, 90.00 90.00 90.06°
Sites, in units of the cell vectors:
Sr 0.000 0.500 0.500
Al 0.500 0.500 0.000
P 0.500 0.000 0.500
Al 0.000 0.000 0.000

Results
N(E_F) = 3.00 states/eV/f.u.
Volume = 21.8 A^3/atom
Final energy = -3.763 eV per atom
Crystal system = tetragonal

***

This record from Alexandria describes an optimized crystal structure of SrAl2P. The functional is PBE.

Cell: 6.054 6.054 6.054 Å, 140.22 140.22 57.51°
Sites, in units of the cell vectors:
Al 0.000 0.000 0.000
P 0.250 0.750 0.500
Al 0.500 0.500 0.000
Sr 0.750 0.250 0.500

Results
N(E_F) = 1.92 states/eV/f.u.
Volume = 22.5 A^3/atom
Final energy = -3.712 eV per atom
Crystal system = tetragonal

***

This record from Alexandria describes an optimized crystal structure of SrAl3P. The functional is PBE.

Cell: 4.948 4.948 4.948 Å, 90.00 90.00 90.00°
Sites, in units of the cell vectors:
Al 0.000 0.500 0.000
Sr 0.500 0.500 0.500
Al 0.500 0.000 0.000
P 0.000 0.000 0.000
Al 0.000 0.000 0.500

Results
N(E_F) = 2.98 states/eV/f.u.
Volume = 24.2 A^3/atom
Final energy = -3.490 eV per atom
Crystal system = cubic

***

This record from Alexandria describes an optimized crystal structure of SrAlP2. The functional is PBE.

Cell: 3.722 4.379 5.885 Å, 89.97 90.00 90.00°
Sites, in units of the cell vectors:
P 0.000 0.750 0.014
P 0.000 0.750 0.486
Sr 0.500 0.250 0.250
Al 0.500 0.750 0.750

Results
N(E_F) = 0.91 states/eV/f.u.
Volume = 24.0 A^3/atom
Final energy = -4.570 eV per atom
Crystal system = orthorhombic

***

This record from Alexandria describes an optimized crystal structure of SrAlP2. The functional is PBE.

Cell: 7.147 7.147 6.267 Å, 55.24 55.24 90.00°
Sites, in units of the cell vectors:
Al 0.250 0.750 0.500
P 0.551 0.125 0.250
P 0.375 0.449 0.750
Sr 0.750 0.250 0.500
Al 0.500 0.500 0.000
P 0.199 0.625 0.250
Sr 0.000 0.000 0.000
P 0.875 0.801 0.750

Results
N(E_F) = 1.57 states/eV/f.u.
Volume = 23.7 A^3/atom
Final energy = -4.675 eV per atom
Crystal system = tetragonal

***

This record from Alexandria describes an optimized crystal structure of SrAl2P. The functional is PBE.

Cell: 5.495 5.495 5.495 Å, 132.94 132.94 68.74°
Sites, in units of the cell vectors:
P 0.500 0.500 0.000
Al 0.250 0.750 0.500
Al 0.000 0.000 0.000
Sr 0.750 0.250 0.500

Results
N(E_F) = 1.62 states/eV/f.u.
Volume = 21.8 A^3/atom
Final energy = -3.679 eV per atom
Crystal system = tetragonal

***

This record from Alexandria describes an optimized crystal structure of Sr2AlP. The functional is PBE.

Cell: 6.530 6.530 5.003 Å, 67.59 67.59 34.45°
Sites, in units of the cell vectors:
P 0.201 0.201 0.296
Sr 0.980 0.980 0.021
Sr 0.759 0.759 0.740
Al 0.560 0.560 0.442

Results
N(E_F) = 1.98 states/eV/f.u.
Volume = 27.7 A^3/atom
Final energy = -3.624 eV per atom
Crystal system = monoclinic

***

This record from Alexandria describes an optimized crystal structure of Sr2AlP. The functional is PBE.

Cell: 3.631 3.631 8.903 Å, 90.00 90.00 90.00°
Sites, in units of the cell vectors:
Sr 0.000 0.000 0.918
Sr 0.500 0.500 0.325
P 0.500 0.500 0.681
Al 0.000 0.000 0.577

Results
N(E_F) = 1.42 states/eV/f.u.
Volume = 29.3 A^3/atom
Final energy = -3.415 eV per atom
Crystal system = tetragonal

***

This record from Alexandria describes an optimized crystal structure of SrAlP2. The functional is PBE.

Cell: 5.864 5.864 5.864 Å, 139.76 139.76 58.22°
Sites, in units of the cell vectors:
P 0.250 0.750 0.500
P 0.000 0.000 0.000
Sr 0.500 0.500 0.000
Al 0.750 0.250 0.500

Results
N(E_F) = 2.81 states/eV/f.u.
Volume = 20.8 A^3/atom
Final energy = -4.143 eV per atom
Crystal system = tetragonal

***

This record from Alexandria describes an optimized crystal structure of Sr2AlP. The functional is PBE.

Cell: 4.084 4.844 6.242 Å, 67.18 90.00 90.00°
Sites, in units of the cell vectors:
Al 0.000 0.688 0.498
Sr 0.500 0.269 0.336
Sr 0.000 0.986 0.903
P 0.500 0.557 0.762

Results
N(E_F) = 2.11 states/eV/f.u.
Volume = 28.5 A^3/atom
Final energy = -3.746 eV per atom
Crystal system = orthorhombic